Co2SiTc | Alexandria via LeMat-Bulk | PBE | relaxed; SG = I-42d, No. 122; magnetization = 0.231 μB/atom; formation energy (no corrections) = 0.279 eV per atom
1.0
-1.7738 1.7738 8.2132
1.7738 -1.7738 8.2132
1.7738 1.7738 -8.2132
Co Si Tc
4 2 2
Cartesian
2.6607 0.8127 -2.0533
0.8127 0.8869 2.0533
-0.8869 0.9611 6.1599
0.9611 0.8869 10.2665
0.0000 0.0000 0.0000
0.0000 1.7738 4.1066
1.7738 0.0000 4.1066
0.0000 0.0000 8.2132